The following is a PBE with a Hubbard U calculation of an optimized crystal structure of Mg3MnNi3O8, from the Alexandria database.

```
data_Mg3MnNi3O8
_chemical_formula_sum 'Mg9 Mn3 Ni9 O24'
_symmetry_space_group_name_H-M 'R -3 m'
_symmetry_Int_Tables_number 166
_symmetry_space_group_name_Hall '-R 3 2"'
_cell_length_a 5.9940
_cell_length_b 5.9940
_cell_length_c 14.4905
_cell_angle_alpha 90.00
_cell_angle_beta 90.00
_cell_angle_gamma 120.00
loop_
_atom_site_label
_atom_site_type_symbol
_atom_site_fract_x
_atom_site_fract_y
_atom_site_fract_z
Mg1 Mg 0.0000 0.5000 0.0000
Mn1 Mn 0.0000 0.0000 0.0000
Ni1 Ni 0.0000 0.5000 0.5000
O1 O 0.0000 0.0000 0.2514
O2 O 0.0270 0.5135 0.7430
```

Values from the calculation:
VASP energy in eV per formula unit: -86.96
Calculated volume in Å³/f.u.: 150
D(E_F) in states/eV/cell: 0.00
Total moment in μB/atom: 0.600